Record 1
# PuCo2

Crystalline PuCo2 at its relaxed geometry (GGA-PBE, Alexandria via LeMat-Bulk).

Calculated values
- Total magnetization: 3.174 μB/f.u.
- E_tot: -0.7105 Ry per atom

a b c (Å): 5.009 5.009 5.009
angles (deg): 60.00 60.00 60.00
Positions (direct):
Co1 0.125 0.125 0.125
Co2 0.125 0.625 0.125
Co3 0.125 0.125 0.625
Co4 0.625 0.125 0.125
Pu1 0.500 0.500 0.500
Pu2 0.750 0.750 0.750



Record 2
# ZnFe2Mo

Crystalline ZnFe2Mo at its relaxed geometry (GGA-PBE, Alexandria via LeMat-Bulk).

Calculated values
- Total magnetization: 0.000 μB/f.u.
- E_tot: -0.4832 Ry per atom

a b c (Å): 6.511 6.511 5.305
angles (deg): 52.14 52.14 90.00
Positions (direct):
Fe1 0.875 0.900 0.750
Fe2 0.375 0.350 0.750
Fe3 0.100 0.625 0.250
Fe4 0.650 0.125 0.250
Mo1 0.000 0.000 0.000
Mo2 0.750 0.250 0.500
Zn1 0.500 0.500 0.000
Zn2 0.250 0.750 0.500



Record 3
# AsIr2W

Crystalline AsIr2W at its relaxed geometry (GGA-PBE, Alexandria via LeMat-Bulk).

Calculated values
- Total magnetization: 0.000 μB/f.u.
- E_tot: -0.6366 Ry per atom

a b c (Å): 4.834 4.834 4.834
angles (deg): 132.16 132.16 69.98
Positions (direct):
W1 0.250 0.750 0.500
Ir1 0.500 0.500 0.000
Ir2 0.000 0.000 0.000
As1 0.750 0.250 0.500



Record 4
# Na2UNiS4

Crystalline Na2UNiS4 at its relaxed geometry (GGA-PBE, Alexandria via LeMat-Bulk).

Calculated values
- Formation energy from raw total energies: -0.9104 eV/atom
- Total magnetization: 0.012 μB/f.u.

a b c (Å): 6.340 5.855 5.855
angles (deg): 72.95 57.22 57.22
Positions (direct):
S1 0.528 0.000 0.369
S2 0.103 0.369 0.000
S3 0.897 0.000 0.631
S4 0.472 0.631 0.000
U1 0.000 0.000 0.000
Ni1 0.500 0.000 0.000
Na1 0.500 0.500 0.500
Na2 0.000 0.500 0.500



Record 5
# SrY3Ir

Crystalline SrY3Ir at its relaxed geometry (GGA-PBE, Alexandria via LeMat-Bulk).

Calculated values
- Total magnetization: 0.000 μB/f.u.
- Energy above the lowest structure with this stoichiometry: 18 meV/atom

a b c (Å): 3.886 8.638 12.620
angles (deg): 52.93 90.01 77.00
Positions (direct):
Sr1 0.329 0.579 0.825
Sr2 0.965 0.307 0.677
Y1 0.814 0.609 0.304
Y2 0.696 0.846 0.929
Y3 0.957 0.325 0.191
Y4 0.098 0.041 0.070
Y5 0.559 0.119 0.501
Y6 0.212 0.813 0.446
Ir1 0.295 0.648 0.127
Ir2 0.613 0.011 0.247



Record 6
# LiCa2AlNi

Crystalline LiCa2AlNi at its relaxed geometry (GGA-PBE, Alexandria via LeMat-Bulk).

Calculated values
- Total magnetization: 0.000 μB/f.u.
- Energy above the lowest structure with this stoichiometry: 306 meV/atom

a b c (Å): 5.827 4.391 5.827
angles (deg): 90.00 90.00 90.00
Positions (direct):
Ni1 0.000 0.500 0.000
Al1 0.000 0.000 0.000
Ca1 0.000 0.000 0.500
Ca2 0.500 0.000 0.000
Li1 0.500 0.500 0.500



Record 7
# Li2TaOs

Crystalline Li2TaOs at its relaxed geometry (GGA-PBE, Alexandria via LeMat-Bulk).

Calculated values
- Total magnetization: 0.000 μB/f.u.
- Energy above the lowest structure with this stoichiometry: 122 meV/atom

a b c (Å): 4.699 4.699 5.428
angles (deg): 86.91 86.91 31.83
Positions (direct):
Li1 0.755 0.755 0.761
Li2 0.001 0.001 0.969
Ta1 0.248 0.248 0.283
Os1 0.496 0.496 0.487



Record 8
# La2InBr

Crystalline La2InBr at its relaxed geometry (GGA-PBE, Alexandria via LeMat-Bulk).

Calculated values
- Formation energy from raw total energies: -0.2259 eV/atom
- Total magnetization: 0.000 μB/f.u.
- Energy above the lowest structure with this stoichiometry: 657 meV/atom

a b c (Å): 5.534 5.534 5.534
angles (deg): 60.00 60.00 60.00
Positions (direct):
Br1 0.500 0.500 0.500
La1 0.000 0.000 0.000
La2 0.250 0.250 0.250
In1 0.750 0.750 0.750